A geometry-optimized Na3MoF structure, computed with PBE with a Hubbard U.

Summary:
- space-group type = Pm-3m (221)
- polymorph energy (0 for the lowest one) (eV/atom) = 0.000

a b c (Å): 4.930 4.930 4.930
angles (deg): 90.00 90.00 90.00
Fractional coordinates of all 5 atoms:
1 Na 0.000 0.000 0.500
2 Na 0.000 0.500 0.000
3 Na 0.500 0.000 0.000
4 Mo 0.500 0.500 0.500
5 F 0.000 0.000 0.000